No. 1
! AcPrTh2 PBE relaxed; values from VASP
! Raw total energy   -5.702 eV per atom
&SYSTEM
  ibrav = 0, nat = 4, ntyp = 3
/
ATOMIC_SPECIES
Pr 140.91 Pr.upf
Th 232.04 Th.upf
Ac 227.00 Ac.upf
CELL_PARAMETERS angstrom
4.367 0.000 0.000
0.000 4.367 0.000
0.000 0.000 7.539
ATOMIC_POSITIONS angstrom
Pr 2.183 2.183 0.000
Th 0.000 0.000 1.668
Th 0.000 0.000 5.871
Ac 2.183 2.183 3.770



No. 2
! Ac2PrTh PBE relaxed; values from VASP
! Raw total energy   -4.821 eV per atom
&SYSTEM
  ibrav = 0, nat = 4, ntyp = 3
/
ATOMIC_SPECIES
Ac 227.00 Ac.upf
Th 232.04 Th.upf
Pr 140.91 Pr.upf
CELL_PARAMETERS angstrom
3.713 0.000 0.000
1.856 3.215 0.000
1.856 1.072 13.349
ATOMIC_POSITIONS angstrom
Ac 5.569 3.215 3.530
Ac 1.856 1.072 9.818
Th 0.000 0.000 0.000
Pr 3.713 2.143 6.674



No. 3
! Ac2PrTh PBE relaxed; values from VASP
! Raw total energy   -4.850 eV per atom
&SYSTEM
  ibrav = 0, nat = 4, ntyp = 3
/
ATOMIC_SPECIES
Pr 140.91 Pr.upf
Ac 227.00 Ac.upf
Th 232.04 Th.upf
CELL_PARAMETERS angstrom
-5.327 1.926 2.130
-4.414 -3.977 1.153
-1.582 -1.191 5.719
ATOMIC_POSITIONS angstrom
Pr -5.662 -1.621 4.501
Ac -2.831 -0.810 2.251
Ac -8.492 -2.431 6.752
Th 0.000 0.000 0.000



No. 4
! AcPr5Th2 PBE relaxed; values from VASP
! Raw total energy   -5.247 eV per atom
&SYSTEM
  ibrav = 0, nat = 8, ntyp = 3
/
ATOMIC_SPECIES
Pr 140.91 Pr.upf
Ac 227.00 Ac.upf
Th 232.04 Th.upf
CELL_PARAMETERS angstrom
-1.814 -2.497 -2.006
9.046 -7.086 0.641
-6.205 2.011 6.486
ATOMIC_POSITIONS angstrom
Pr -3.976 -0.414 4.110
Pr 0.850 -3.906 0.716
Pr 5.002 -7.158 1.010
Pr 0.176 -3.666 4.405
Pr 4.523 -3.543 0.321
Ac 0.000 0.000 0.000
Th -2.168 -2.602 1.822
Th 3.194 -4.970 3.299



No. 5
! Ac2Pr6Th PBE relaxed; values from VASP
! Raw total energy   -4.834 eV per atom
&SYSTEM
  ibrav = 0, nat = 9, ntyp = 3
/
ATOMIC_SPECIES
Ac 227.00 Ac.upf
Th 232.04 Th.upf
Pr 140.91 Pr.upf
CELL_PARAMETERS angstrom
-1.892 -2.750 -1.706
-0.439 0.575 3.678
-21.029 17.756 -5.289
ATOMIC_POSITIONS angstrom
Ac -8.316 4.191 -1.649
Ac -15.529 10.282 -3.463
Th -0.924 -0.533 1.883
Pr -12.731 9.436 -1.086
Pr -5.411 3.256 0.755
Pr -10.145 7.253 -0.436
Pr -17.465 13.434 -2.277
Pr -20.236 14.256 -4.647
Pr -3.609 0.217 -0.465



No. 6
! Ac14PrTh PBE relaxed; values from VASP
! Raw total energy   -4.310 eV per atom
&SYSTEM
  ibrav = 0, nat = 16, ntyp = 3
/
ATOMIC_SPECIES
Ac 227.00 Ac.upf
Pr 140.91 Pr.upf
Th 232.04 Th.upf
CELL_PARAMETERS angstrom
7.815 1.049 0.000
-1.048 7.815 0.000
0.000 0.000 11.249
ATOMIC_POSITIONS angstrom
Ac 2.796 1.367 5.624
Ac 0.094 6.943 8.535
Ac 0.610 3.096 2.719
Ac 6.180 5.797 0.000
Ac 6.184 5.806 5.624
Ac 2.803 1.374 0.000
Ac 0.610 3.096 8.529
Ac 6.706 1.895 5.624
Ac 0.094 6.943 2.714
Ac 3.941 7.459 8.529
Ac 4.457 3.612 2.724
Ac 4.457 3.612 8.525
Ac 3.941 7.459 2.719
Ac 2.275 5.278 5.624
Pr 6.707 1.894 0.000
Th 2.276 5.277 0.000



No. 7
! Ac2PrTh PBE relaxed; values from VASP
! Raw total energy   -4.983 eV per atom
&SYSTEM
  ibrav = 0, nat = 4, ntyp = 3
/
ATOMIC_SPECIES
Th 232.04 Th.upf
Pr 140.91 Pr.upf
Ac 227.00 Ac.upf
CELL_PARAMETERS angstrom
-2.936 0.454 4.472
-1.465 -5.162 -0.437
4.262 -1.459 2.946
ATOMIC_POSITIONS angstrom
Th -0.069 -3.083 3.490
Pr -1.468 0.227 2.236
Ac 2.131 -0.730 1.473
Ac -0.733 -2.581 -0.219



No. 8
! AcPrTmTh PBE relaxed; values from VASP
! Raw total energy   -5.017 eV per atom
&SYSTEM
  ibrav = 0, nat = 4, ntyp = 4
/
ATOMIC_SPECIES
Th 232.04 Th.upf
Tm 168.93 Tm.upf
Ac 227.00 Ac.upf
Pr 140.91 Pr.upf
CELL_PARAMETERS angstrom
-3.788 1.791 -4.093
-5.687 0.523 1.301
-2.439 5.311 0.390
ATOMIC_POSITIONS angstrom
Th 0.000 0.000 0.000
Tm -8.936 5.719 -1.801
Ac -5.957 3.813 -1.201
Pr -2.979 1.906 -0.600



Q: raw total energy of number 1 (AcPrTh2)?
A: -5.702 eV per atom



Q: What is the formula in the second record?
A: Ac2PrTh



Copy entry 8 word for word.
! AcPrTmTh PBE relaxed; values from VASP
! Raw total energy   -5.017 eV per atom
&SYSTEM
  ibrav = 0, nat = 4, ntyp = 4
/
ATOMIC_SPECIES
Th 232.04 Th.upf
Tm 168.93 Tm.upf
Ac 227.00 Ac.upf
Pr 140.91 Pr.upf
CELL_PARAMETERS angstrom
-3.788 1.791 -4.093
-5.687 0.523 1.301
-2.439 5.311 0.390
ATOMIC_POSITIONS angstrom
Th 0.000 0.000 0.000
Tm -8.936 5.719 -1.801
Ac -5.957 3.813 -1.201
Pr -2.979 1.906 -0.600